i:
## MnHgAs (PBE-GGA)

Data for a relaxed MnHgAs crystal.

Structure (CIF):
```
data_MnHgAs
_chemical_formula_sum 'Mn4 Hg4 As4'
_cell_length_a 6.329
_cell_length_b 6.329
_cell_length_c 6.329
_cell_angle_alpha 90.00
_cell_angle_beta 90.00
_cell_angle_gamma 90.00
_space_group_name_H-M_alt 'F -4 3 m'
_space_group_IT_number 216
_space_group_name_Hall 'F -4 2 3'
loop_
_atom_site_label
_atom_site_fract_x
_atom_site_fract_y
_atom_site_fract_z
Mn1 0.000 0.000 0.000
Hg1 0.250 0.250 0.750
As1 0.250 0.250 0.250
```

---

ii:
## MnHgAs (PBE-GGA)

Data for a relaxed MnHgAs crystal.

Structure (CIF):
```
data_MnHgAs
_chemical_formula_sum 'Mn4 Hg4 As4'
_cell_length_a 6.423
_cell_length_b 6.423
_cell_length_c 6.423
_cell_angle_alpha 90.00
_cell_angle_beta 90.00
_cell_angle_gamma 90.00
_space_group_name_H-M_alt 'F -4 3 m'
_space_group_IT_number 216
_space_group_name_Hall 'F -4 2 3'
loop_
_atom_site_label
_atom_site_fract_x
_atom_site_fract_y
_atom_site_fract_z
Mn1 0.000 0.000 0.000
Hg1 0.000 0.000 0.500
As1 0.250 0.250 0.750
```

---

iii:
## MnHgAs (PBE-GGA)

Data for a relaxed MnHgAs crystal.

Structure (CIF):
```
data_MnHgAs
_chemical_formula_sum 'Mn1 Hg1 As1'
_cell_length_a 3.4078
_cell_length_b 3.4078
_cell_length_c 6.0543
_cell_angle_alpha 90.00
_cell_angle_beta 90.00
_cell_angle_gamma 120.00
_space_group_name_H-M_alt 'P 3 m 1'
_space_group_IT_number 156
loop_
_space_group_symop_operation_xyz
'x,y,z'
'-y,x-y,z'
'-x+y,-x,z'
'-y,-x,z'
'-x+y,y,z'
'x,x-y,z'
loop_
_atom_site_label
_atom_site_fract_x
_atom_site_fract_y
_atom_site_fract_z
Mn1 0.0000 0.0000 0.0000
Hg1 0.3333 0.6667 0.6564
As1 0.6667 0.3333 0.2353
```

---

iii is favored, and the nearest alternative lies 29 meV/atom above it.